1.
{"formula": "Nd3YSb4", "functional": "PBE", "state": "optimized geometry", "magmom_total_mub_per_cell": 0.00, "space_group": "No. 221", "dft_energy_ev_per_cell": -46.7, "raw_formation_energy_mev_per_atom": -1180.0, "cell": [[6.352, 0.000, 0.000], [0.000, 6.352, 0.000], [0.000, 0.000, 6.352]], "species": ["Nd", "Nd", "Nd", "Y", "Sb", "Sb", "Sb", "Sb"], "frac_coords": [[0.000, 0.000, 0.500], [0.000, 0.500, 0.000], [0.500, 0.000, 0.000], [0.500, 0.500, 0.500], [0.000, 0.000, 0.000], [0.000, 0.500, 0.500], [0.500, 0.000, 0.500], [0.500, 0.500, 0.000]]}

---

2.
{"formula": "NdY3Sb3", "functional": "PBE", "state": "optimized geometry", "magmom_total_mub_per_cell": 0.00, "space_group": "No. 198", "dft_energy_ev_per_cell": -175.0, "raw_formation_energy_mev_per_atom": -1032.3, "cell": [[9.292, 0.000, 0.000], [0.000, 9.292, 0.000], [0.000, 0.000, 9.292]], "species": ["Nd", "Nd", "Nd", "Nd", "Y", "Y", "Y", "Y", "Y", "Y", "Y", "Y", "Y", "Y", "Y", "Y", "Sb", "Sb", "Sb", "Sb", "Sb", "Sb", "Sb", "Sb", "Sb", "Sb", "Sb", "Sb"], "frac_coords": [[0.070, 0.430, 0.570], [0.430, 0.570, 0.070], [0.570, 0.070, 0.430], [0.930, 0.930, 0.930], [0.075, 0.575, 0.925], [0.179, 0.821, 0.321], [0.180, 0.180, 0.180], [0.320, 0.820, 0.680], [0.321, 0.179, 0.821], [0.425, 0.425, 0.425], [0.575, 0.925, 0.075], [0.679, 0.679, 0.679], [0.680, 0.320, 0.820], [0.820, 0.680, 0.320], [0.821, 0.321, 0.179], [0.925, 0.075, 0.575], [0.001, 0.256, 0.878], [0.122, 0.501, 0.244], [0.244, 0.122, 0.501], [0.256, 0.878, 0.001], [0.378, 0.499, 0.744], [0.499, 0.744, 0.378], [0.501, 0.244, 0.122], [0.622, 0.999, 0.756], [0.744, 0.378, 0.499], [0.756, 0.622, 0.999], [0.878, 0.001, 0.256], [0.999, 0.756, 0.622]]}

---

3.
{"formula": "Nd4YSb5", "functional": "PBE", "state": "optimized geometry", "magmom_total_mub_per_cell": 0.00, "space_group": "No. 71", "dft_energy_ev_per_cell": -58.0, "raw_formation_energy_mev_per_atom": -1181.0, "cell": [[-2.251, 3.181, 11.238], [2.251, -3.181, 11.238], [2.251, 3.181, -11.238]], "species": ["Nd", "Nd", "Nd", "Nd", "Y", "Sb", "Sb", "Sb", "Sb", "Sb"], "frac_coords": [[0.100, 0.100, 0.000], [0.301, 0.301, 0.000], [0.699, 0.699, 0.000], [0.900, 0.900, 0.000], [0.500, 0.500, 0.000], [0.000, 0.500, 0.500], [0.200, 0.700, 0.500], [0.403, 0.903, 0.500], [0.597, 0.097, 0.500], [0.800, 0.300, 0.500]]}

---

4.
{"formula": "Nd2YSb2", "functional": "PBE", "state": "optimized geometry", "magmom_total_mub_per_cell": 0.59, "space_group": "No. 72", "dft_energy_ev_per_cell": -57.2, "raw_formation_energy_mev_per_atom": -866.4, "cell": [[-4.288, 5.978, 3.207], [4.288, -5.978, 3.207], [4.288, 5.978, -3.207]], "species": ["Nd", "Nd", "Nd", "Nd", "Y", "Y", "Sb", "Sb", "Sb", "Sb"], "frac_coords": [[0.151, 0.142, 0.294], [0.349, 0.642, 0.991], [0.651, 0.358, 0.009], [0.849, 0.858, 0.706], [0.250, 0.750, 0.500], [0.750, 0.250, 0.500], [0.107, 0.777, 0.885], [0.393, 0.277, 0.670], [0.607, 0.723, 0.330], [0.893, 0.223, 0.115]]}